Compound: Rb2SrScBr6
Source: Alexandria via LeMat-Bulk
Functional: PBE
Structure: optimized geometry

a b c (Å): 8.102 8.102 8.102
angles (deg): 60.00 60.00 60.00
Positions (direct):
Rb: 0.250 0.250 0.250
Rb: 0.750 0.750 0.750
Sr: 0.000 0.000 0.000
Sc: 0.500 0.500 0.500
Br: 0.261 0.261 0.739
Br: 0.261 0.739 0.261
Br: 0.261 0.739 0.739
Br: 0.739 0.261 0.261
Br: 0.739 0.261 0.739
Br: 0.739 0.739 0.261

Output
- Energy relative to the elements, uncorrected: -39.94 kcal/mol of atoms


Compound: MgInW
Source: Alexandria via LeMat-Bulk
Functional: PBE
Structure: optimized geometry

a b c (Å): 7.321 7.321 7.321
angles (deg): 157.42 157.42 32.15
Positions (direct):
Mg: 0.000 0.000 0.000
In: 0.315 0.315 0.000
W: 0.653 0.653 0.000

Output
- DFT formation energy: 1.3 eV/f.u.
- Energy above the most stable polymorph in this dataset: 9 meV/atom


Compound: MgFe4Ir
Source: Alexandria via LeMat-Bulk
Functional: PBE
Structure: optimized geometry

a b c (Å): 4.806 4.806 4.806
angles (deg): 60.00 60.00 60.00
Positions (direct):
Mg: 0.000 0.000 0.000
Fe: 0.125 0.625 0.625
Fe: 0.625 0.125 0.625
Fe: 0.625 0.625 0.125
Fe: 0.625 0.625 0.625
Ir: 0.250 0.250 0.250

Output
- DFT formation energy: 0.0 eV/f.u.


Compound: In3AsIr
Source: Alexandria via LeMat-Bulk
Functional: PBE
Structure: optimized geometry

a b c (Å): 5.144 5.144 5.144
angles (deg): 90.00 90.00 90.00
Positions (direct):
In: 0.000 0.000 0.500
In: 0.000 0.500 0.000
In: 0.500 0.000 0.000
As: 0.500 0.500 0.500
Ir: 0.000 0.000 0.000

Output
- DFT formation energy: 1.0 eV/f.u.
- Energy above the most stable polymorph in this dataset: 0 meV/atom


Compound: TaTcPCl2
Source: Alexandria via LeMat-Bulk
Functional: PBE
Structure: optimized geometry

a b c (Å): 4.670 4.670 4.778
angles (deg): 90.00 90.00 90.00
Positions (direct):
Ta: 0.000 0.000 0.000
Tc: 0.500 0.500 0.500
P: 0.500 0.500 0.000
Cl: 0.000 0.500 0.500
Cl: 0.500 0.000 0.500

Output
- Energy relative to the elements, uncorrected: 23.30 kcal/mol of atoms
- Energy above the most stable polymorph in this dataset: 401 meV/atom


Compound: Tb4Pr2Ho5
Source: Alexandria via LeMat-Bulk
Functional: PBE
Structure: optimized geometry

a b c (Å): 12.601 12.601 12.601
angles (deg): 164.03 137.82 45.37
Positions (direct):
Tb: 0.097 0.097 0.000
Tb: 0.193 0.500 0.693
Tb: 0.807 0.500 0.307
Tb: 0.903 0.903 0.000
Pr: 0.233 0.233 0.000
Pr: 0.767 0.767 0.000
Ho: 0.166 0.359 0.807
Ho: 0.448 0.641 0.807
Ho: 0.500 0.000 0.500
Ho: 0.552 0.359 0.193
Ho: 0.834 0.641 0.193

Output
- DFT formation energy: 2.3 eV/f.u.
- Energy above the most stable polymorph in this dataset: 63 meV/atom


Compound: Ho4ZrAs5
Source: Alexandria via LeMat-Bulk
Functional: PBE
Structure: optimized geometry

a b c (Å): 7.004 7.004 7.004
angles (deg): 99.62 99.62 131.74
Positions (direct):
Ho: 0.097 0.699 0.797
Ho: 0.301 0.097 0.398
Ho: 0.699 0.903 0.602
Ho: 0.903 0.301 0.203
Zr: 0.500 0.500 0.000
As: 0.000 0.000 0.000
As: 0.207 0.402 0.609
As: 0.402 0.793 0.194
As: 0.598 0.207 0.806
As: 0.793 0.598 0.391

Output
- DFT formation energy: -14.4 eV/f.u.


Compound: SrDyZn2Ga2
Source: Alexandria via LeMat-Bulk
Functional: PBE
Structure: optimized geometry

a b c (Å): 4.519 4.519 7.704
angles (deg): 90.00 90.00 120.00
Positions (direct):
Sr: 0.000 0.000 0.000
Dy: 0.000 0.000 0.500
Zn: 0.333 0.667 0.702
Zn: 0.667 0.333 0.298
Ga: 0.333 0.667 0.295
Ga: 0.667 0.333 0.705

Output
- DFT formation energy: -3.0 eV/f.u.


Compound: Mg2VMoCl
Source: Alexandria via LeMat-Bulk
Functional: PBE
Structure: optimized geometry

a b c (Å): 4.586 4.586 4.367
angles (deg): 90.00 90.00 90.00
Positions (direct):
Mg: 0.000 0.500 0.000
Mg: 0.500 0.000 0.000
V: 0.000 0.000 0.500
Mo: 0.500 0.500 0.500
Cl: 0.000 0.000 0.000

Output
- Energy relative to the elements, uncorrected: 18.85 kcal/mol of atoms


Compound: Sm2PuSi
Source: Alexandria via LeMat-Bulk
Functional: PBE
Structure: optimized geometry

a b c (Å): 10.965 10.965 10.965
angles (deg): 18.85 18.85 18.85
Positions (direct):
Sm: 0.104 0.104 0.104
Sm: 0.896 0.896 0.896
Pu: 0.000 0.000 0.000
Si: 0.500 0.500 0.500

Output
- Energy relative to the elements, uncorrected: 3.15 kcal/mol of atoms
- Energy above the most stable polymorph in this dataset: 320 meV/atom


Compound: Pm3AsO
Source: Alexandria via LeMat-Bulk
Functional: PBE
Structure: optimized geometry

a b c (Å): 4.826 4.826 4.826
angles (deg): 90.00 90.00 90.00
Positions (direct):
Pm: 0.000 0.000 0.500
Pm: 0.000 0.500 0.000
Pm: 0.500 0.000 0.000
As: 0.500 0.500 0.500
O: 0.000 0.000 0.000

Output
- Energy relative to the elements, uncorrected: -32.60 kcal/mol of atoms


Compound: KTcIr2
Source: Alexandria via LeMat-Bulk
Functional: PBE
Structure: optimized geometry

a b c (Å): 2.758 2.758 10.155
angles (deg): 90.00 90.00 117.87
Positions (direct):
K: 0.000 0.000 0.000
Tc: 0.000 0.000 0.500
Ir: 0.500 0.500 0.280
Ir: 0.500 0.500 0.720

Output
- DFT formation energy: 2.5 eV/f.u.
- Energy above the most stable polymorph in this dataset: 259 meV/atom


Compound: Ca5Ag2Pt2
Source: Alexandria via LeMat-Bulk
Functional: PBE
Structure: optimized geometry

a b c (Å): 8.729 8.729 7.813
angles (deg): 90.00 90.00 52.97
Positions (direct):
Ca: 0.000 0.000 0.000
Ca: 0.045 0.702 0.670
Ca: 0.202 0.545 0.170
Ca: 0.298 0.955 0.670
Ca: 0.455 0.798 0.170
Ca: 0.500 0.500 0.500
Ca: 0.545 0.202 0.830
Ca: 0.702 0.045 0.330
Ca: 0.798 0.455 0.830
Ca: 0.955 0.298 0.330
Ag: 0.210 0.210 0.000
Ag: 0.290 0.290 0.500
Ag: 0.710 0.710 0.500
Ag: 0.790 0.790 0.000
Pt: 0.126 0.874 0.373
Pt: 0.374 0.626 0.873
Pt: 0.626 0.374 0.127
Pt: 0.874 0.126 0.627

Output
- DFT formation energy: -5.4 eV/f.u.


Compound: MnCuI6
Source: Alexandria via LeMat-Bulk
Functional: PBE
Structure: optimized geometry

a b c (Å): 7.063 7.064 7.352
angles (deg): 61.30 61.35 60.01
Positions (direct):
Mn: 0.000 0.000 0.000
Cu: 0.500 0.500 0.500
I: 0.099 0.756 0.752
I: 0.244 0.606 0.248
I: 0.393 0.099 0.752
I: 0.607 0.901 0.248
I: 0.756 0.394 0.752
I: 0.901 0.244 0.248

Output
- Energy relative to the elements, uncorrected: -1.94 kcal/mol of atoms
- Energy above the most stable polymorph in this dataset: 51 meV/atom


Compound: AgRuRh2
Source: Alexandria via LeMat-Bulk
Functional: PBE
Structure: optimized geometry

a b c (Å): 4.431 4.431 4.431
angles (deg): 60.00 60.00 60.00
Positions (direct):
Ag: 0.000 0.000 0.000
Ru: 0.500 0.500 0.500
Rh: 0.250 0.250 0.250
Rh: 0.750 0.750 0.750

Output
- DFT formation energy: 1.9 eV/f.u.
- Energy above the most stable polymorph in this dataset: 341 meV/atom


Compound: Tl3Tc
Source: Alexandria via LeMat-Bulk
Functional: PBE
Structure: optimized geometry

a b c (Å): 5.488 6.102 5.623
angles (deg): 90.00 90.00 90.00
Positions (direct):
Tl: 0.250 0.006 0.142
Tl: 0.250 0.494 0.142
Tl: 0.250 0.750 0.616
Tl: 0.750 0.250 0.384
Tl: 0.750 0.506 0.858
Tl: 0.750 0.994 0.858
Tc: 0.250 0.250 0.637
Tc: 0.750 0.750 0.363

Output
- DFT formation energy: 2.9 eV/f.u.
- Energy above the most stable polymorph in this dataset: 338 meV/atom


Compound: Li2YTm2Mg5
Source: Alexandria via LeMat-Bulk
Functional: PBE
Structure: optimized geometry

a b c (Å): 10.478 10.478 4.417
angles (deg): 90.00 90.00 90.00
Positions (direct):
Li: 0.115 0.385 0.000
Li: 0.385 0.885 0.000
Li: 0.615 0.115 0.000
Li: 0.885 0.615 0.000
Y: 0.000 0.000 0.000
Y: 0.500 0.500 0.000
Tm: 0.179 0.679 0.000
Tm: 0.321 0.179 0.000
Tm: 0.679 0.821 0.000
Tm: 0.821 0.321 0.000
Mg: 0.000 0.500 0.500
Mg: 0.064 0.214 0.500
Mg: 0.214 0.936 0.500
Mg: 0.286 0.436 0.500
Mg: 0.436 0.714 0.500
Mg: 0.500 0.000 0.500
Mg: 0.564 0.286 0.500
Mg: 0.714 0.564 0.500
Mg: 0.786 0.064 0.500
Mg: 0.936 0.786 0.500

Output
- DFT formation energy: -0.1 eV/f.u.


Compound: Cs2RbTlCu
Source: Alexandria via LeMat-Bulk
Functional: PBE
Structure: optimized geometry

a b c (Å): 7.401 7.401 5.228
angles (deg): 90.00 90.00 90.00
Positions (direct):
Cs: 0.000 0.500 0.000
Cs: 0.500 0.000 0.000
Rb: 0.000 0.000 0.500
Tl: 0.500 0.500 0.500
Cu: 0.500 0.500 0.000

Output
- DFT formation energy: 0.9 eV/f.u.
- Energy above the most stable polymorph in this dataset: 0 meV/atom


Compound: CsTcHBr6
Source: Alexandria via LeMat-Bulk
Functional: PBE
Structure: optimized geometry

a b c (Å): 6.650 6.864 7.560
angles (deg): 70.49 73.62 87.25
Positions (direct):
Cs: 0.000 0.000 0.000
Tc: 0.500 0.500 0.500
H: 0.000 0.500 0.500
Br: 0.191 0.337 0.442
Br: 0.261 0.545 0.805
Br: 0.422 0.854 0.301
Br: 0.578 0.146 0.699
Br: 0.739 0.455 0.195
Br: 0.809 0.663 0.558

Output
- Final energy: -3.4138 eV/atom


Compound: Cs2Ca2Ge
Source: Alexandria via LeMat-Bulk
Functional: PBE
Structure: optimized geometry

a b c (Å): 8.131 8.131 7.350
angles (deg): 90.00 90.00 90.00
Positions (direct):
Cs: 0.200 0.300 0.000
Cs: 0.300 0.800 0.000
Cs: 0.700 0.200 0.000
Cs: 0.800 0.700 0.000
Ca: 0.173 0.673 0.500
Ca: 0.327 0.173 0.500
Ca: 0.673 0.827 0.500
Ca: 0.827 0.327 0.500
Ge: 0.000 0.000 0.500
Ge: 0.500 0.500 0.500

Output
- DFT formation energy: 0.1 eV/f.u.


For the records above, the corresponding mass density values read 3.458 9.279 9.307 7.460 6.069 7.838 7.990 6.343 4.175 7.908 7.771 12.679 5.635 5.525 11.199 12.544 3.850 3.591 3.790 2.861 g cm⁻³.